[1]
Density functional theory data (PBE-GGA) for a relaxed structure of Be2GeTeI.

Lattice parameters (Å, degrees): 4.5811 4.5811 7.5466 90.00 90.00 90.00
Positions (direct):
Be1 0.0000 0.5000 0.0000
Be2 0.5000 0.0000 0.0000
Ge1 0.0000 0.0000 0.5000
Te1 0.5000 0.5000 0.0000
I1 0.5000 0.5000 0.5000

Fermi-level density of states = 0.980 states/eV per atom
Spin magnetization = 0.00 μB per cell
Uncorrected energy = -2.280 eV/atom

[2]
Density functional theory data (PBE-GGA) for a relaxed structure of BeGeTeI2.

Lattice parameters (Å, degrees): 5.1320 5.1320 5.3241 90.00 90.00 90.00
Positions (direct):
Be1 0.0000 0.0000 0.0000
Ge1 0.5000 0.5000 0.5000
Te1 0.0000 0.0000 0.5000
I1 0.0000 0.5000 0.0000
I2 0.5000 0.0000 0.0000

Fermi-level density of states = 0.673 states/eV per atom
Spin magnetization = 0.00 μB per cell
Energy above the lowest structure with this stoichiometry = 0.0000 eV/atom
Uncorrected energy = -2.558 eV/atom

[3]
Density functional theory data (PBE-GGA) for a relaxed structure of BeGeTeI2.

Lattice parameters (Å, degrees): 5.6682 5.6682 5.5543 90.00 90.00 90.00
Positions (direct):
Be1 0.0000 0.0000 0.0000
Ge1 0.5000 0.5000 0.5000
Te1 0.5000 0.5000 0.0000
I1 0.0000 0.5000 0.5000
I2 0.5000 0.0000 0.5000

Fermi-level density of states = 0.904 states/eV per atom
Spin magnetization = 0.00 μB per cell
Energy above the lowest structure with this stoichiometry = 0.3840 eV/atom
Uncorrected energy = -2.174 eV/atom

[4]
Density functional theory data (PBE-GGA) for a relaxed structure of BeIn2Ge.

Lattice parameters (Å, degrees): 6.7763 6.7763 6.7763 96.04 96.04 142.16
Positions (direct):
Be1 0.0000 0.0000 0.0000
Be2 0.7500 0.2500 0.5000
In1 0.0098 0.6250 0.8848
In2 0.3750 0.2598 0.3848
In3 0.7402 0.1250 0.1152
In4 0.8750 0.9902 0.6152
Ge1 0.2500 0.7500 0.5000
Ge2 0.5000 0.5000 0.0000

Fermi-level density of states = 0.333 states/eV per atom
Spin magnetization = 0.00 μB per cell
Energy above the lowest structure with this stoichiometry = 0.0000 eV/atom
Uncorrected energy = -3.122 eV/atom
ΔE_f = 0.33 eV/atom

[5]
Density functional theory data (PBE-GGA) for a relaxed structure of BeIn3Ge.

Lattice parameters (Å, degrees): 5.3859 5.3859 5.3859 90.00 90.00 90.00
Positions (direct):
Be1 0.0000 0.0000 0.0000
In1 0.0000 0.5000 0.5000
In2 0.5000 0.0000 0.5000
In3 0.5000 0.5000 0.0000
Ge1 0.5000 0.5000 0.5000

Fermi-level density of states = 1.385 states/eV per atom
Spin magnetization = 0.00 μB per cell
Energy above the lowest structure with this stoichiometry = 0.4512 eV/atom
Uncorrected energy = -2.428 eV/atom
ΔE_f = 0.88 eV/atom

[6]
Density functional theory data (PBE-GGA) for a relaxed structure of BeIn2Ge2.

Lattice parameters (Å, degrees): 6.2919 6.2919 5.2455 90.00 90.00 90.00
Positions (direct):
Be1 0.0000 0.0000 0.0000
Be2 0.5000 0.5000 0.0000
In1 0.1860 0.3140 0.5000
In2 0.3140 0.8140 0.5000
In3 0.6860 0.1860 0.5000
In4 0.8140 0.6860 0.5000
Ge1 0.1484 0.6484 0.0000
Ge2 0.3516 0.1484 0.0000
Ge3 0.6484 0.8516 0.0000
Ge4 0.8516 0.3516 0.0000

Fermi-level density of states = 0.566 states/eV per atom
Spin magnetization = 0.00 μB per cell
Uncorrected energy = -3.408 eV/atom
ΔE_f = 0.28 eV/atom

[7]
Density functional theory data (PBE-GGA) for a relaxed structure of BeIn3Ge.

Lattice parameters (Å, degrees): 4.9150 4.9150 4.9150 90.00 90.00 90.00
Positions (direct):
Be1 0.0000 0.0000 0.0000
In1 0.0000 0.0000 0.5000
In2 0.0000 0.5000 0.0000
In3 0.5000 0.0000 0.0000
Ge1 0.5000 0.5000 0.5000

Fermi-level density of states = 0.868 states/eV per atom
Spin magnetization = 0.00 μB per cell
Energy above the lowest structure with this stoichiometry = 0.0000 eV/atom
Uncorrected energy = -2.879 eV/atom
ΔE_f = 0.43 eV/atom

[8]
Density functional theory data (PBE-GGA) for a relaxed structure of BeIn2Ge.

Lattice parameters (Å, degrees): 4.9083 4.9083 4.9083 60.00 60.00 60.00
Positions (direct):
Be1 0.0000 0.0000 0.0000
In1 0.2500 0.2500 0.2500
In2 0.7500 0.7500 0.7500
Ge1 0.5000 0.5000 0.5000

Fermi-level density of states = 0.707 states/eV per atom
Spin magnetization = 0.00 μB per cell
Energy above the lowest structure with this stoichiometry = 0.1842 eV/atom
Uncorrected energy = -2.937 eV/atom
ΔE_f = 0.52 eV/atom